#one
DFT (GGA-PBE) results for a geometry-optimized CaRe2Au2 structure.

- ρ (g/cm³) = 14.1

```
data_CaRe2Au2
_chemical_formula_sum 'Ca2 Re4 Au4'
_cell_length_a 8.102
_cell_length_b 8.102
_cell_length_c 2.900
_cell_angle_alpha 90.00
_cell_angle_beta 90.00
_cell_angle_gamma 90.00
_space_group_name_H-M_alt 'P 4/m b m'
_space_group_IT_number 127
_space_group_name_Hall '-P 4 2ab'
loop_
_atom_site_label
_atom_site_fract_x
_atom_site_fract_y
_atom_site_fract_z
Ca1 0.000 0.000 0.000
Re1 0.103 0.397 0.000
Au1 0.191 0.691 0.500
```

#two
DFT (GGA-PBE) results for a geometry-optimized CaRe2Au2 structure.

- ρ (g/cm³) = 12.6

```
data_CaRe2Au2
_chemical_formula_sum 'Ca2 Re4 Au4'
_cell_length_a 4.528
_cell_length_b 4.528
_cell_length_c 10.367
_cell_angle_alpha 90.00
_cell_angle_beta 90.00
_cell_angle_gamma 90.00
_space_group_name_H-M_alt 'I 4/m m m'
_space_group_IT_number 139
_space_group_name_Hall '-I 4 2'
loop_
_atom_site_label
_atom_site_fract_x
_atom_site_fract_y
_atom_site_fract_z
Ca1 0.000 0.000 0.000
Re1 0.000 0.000 0.393
Au1 0.000 0.500 0.250
```

Ranked by calculated energy, most stable first: #one, #two.

#one
DFT (GGA-PBE) results for a geometry-optimized Ca2Rh2Au structure.

- ρ (g/cm³) = 7.9

```
data_Ca2Rh2Au
_chemical_formula_sum 'Ca4 Rh4 Au2'
_cell_length_a 7.854
_cell_length_b 7.854
_cell_length_c 3.296
_cell_angle_alpha 90.00
_cell_angle_beta 90.00
_cell_angle_gamma 90.00
_space_group_name_H-M_alt 'P 4/m b m'
_space_group_IT_number 127
_space_group_name_Hall '-P 4 2ab'
loop_
_atom_site_label
_atom_site_fract_x
_atom_site_fract_y
_atom_site_fract_z
Ca1 0.150 0.350 0.000
Rh1 0.151 0.651 0.500
Au1 0.000 0.000 0.000
```

#two
DFT (GGA-PBE) results for a geometry-optimized Ca2Rh2Au structure.

- ρ (g/cm³) = 7.7

```
data_Ca2Rh2Au
_chemical_formula_sum 'Ca4 Rh4 Au2'
_cell_length_a 6.982
_cell_length_b 6.982
_cell_length_c 4.280
_cell_angle_alpha 90.00
_cell_angle_beta 90.00
_cell_angle_gamma 90.00
_space_group_name_H-M_alt 'P 4/m b m'
_space_group_IT_number 127
_space_group_name_Hall '-P 4 2ab'
loop_
_atom_site_label
_atom_site_fract_x
_atom_site_fract_y
_atom_site_fract_z
Ca1 0.176 0.324 0.000
Rh1 0.129 0.629 0.500
Au1 0.000 0.000 0.500
```

#three
DFT (GGA-PBE) results for a geometry-optimized Ca2Rh2Au structure.

- ρ (g/cm³) = 7.1

```
data_Ca2Rh2Au
_chemical_formula_sum 'Ca4 Rh4 Au2'
_cell_length_a 3.657
_cell_length_b 3.657
_cell_length_c 16.843
_cell_angle_alpha 90.00
_cell_angle_beta 90.00
_cell_angle_gamma 90.00
_space_group_name_H-M_alt 'I 4/m m m'
_space_group_IT_number 139
_space_group_name_Hall '-I 4 2'
loop_
_atom_site_label
_atom_site_fract_x
_atom_site_fract_y
_atom_site_fract_z
Ca1 0.000 0.000 0.110
Rh1 0.000 0.500 0.250
Au1 0.000 0.000 0.500
```

Ranked by calculated energy, most stable first: #two, #three, #one.

#one
DFT (GGA-PBE) results for a geometry-optimized Ca4RhAu structure.

- ρ (g/cm³) = 4.4

```
data_Ca4RhAu
_chemical_formula_sum 'Ca16 Rh4 Au4'
_cell_length_a 9.313
_cell_length_b 13.572
_cell_length_c 6.471
_cell_angle_alpha 90.00
_cell_angle_beta 122.76
_cell_angle_gamma 90.00
_space_group_name_H-M_alt 'C 1 2/c 1'
_space_group_IT_number 15
_space_group_name_Hall '-C 2yc'
loop_
_atom_site_label
_atom_site_fract_x
_atom_site_fract_y
_atom_site_fract_z
Ca1 0.120 0.173 0.091
Ca2 0.207 0.440 0.278
Rh1 0.000 0.001 0.250
Au1 0.000 0.364 0.750
```

#two
DFT (GGA-PBE) results for a geometry-optimized Ca4RhAu structure.

- ρ (g/cm³) = 4.3

```
data_Ca4RhAu
_chemical_formula_sum 'Ca4 Rh1 Au1'
_cell_length_a 4.974
_cell_length_b 4.974
_cell_length_c 7.133
_cell_angle_alpha 90.00
_cell_angle_beta 90.00
_cell_angle_gamma 90.00
_space_group_name_H-M_alt 'P 4/m m m'
_space_group_IT_number 123
_space_group_name_Hall '-P 4 2'
loop_
_atom_site_label
_atom_site_fract_x
_atom_site_fract_y
_atom_site_fract_z
Ca1 0.000 0.500 0.236
Rh1 0.000 0.000 0.000
Au1 0.500 0.500 0.500
```

#three
DFT (GGA-PBE) results for a geometry-optimized Ca4RhAu structure.

- ρ (g/cm³) = 4.8

```
data_Ca4RhAu
_chemical_formula_sum 'Ca16 Rh4 Au4'
_cell_length_a 8.605
_cell_length_b 8.605
_cell_length_c 8.605
_cell_angle_alpha 90.00
_cell_angle_beta 90.00
_cell_angle_gamma 90.00
_space_group_name_H-M_alt 'F -4 3 m'
_space_group_IT_number 216
_space_group_name_Hall 'F -4 2 3'
loop_
_atom_site_label
_atom_site_fract_x
_atom_site_fract_y
_atom_site_fract_z
Ca1 0.124 0.124 0.124
Rh1 0.250 0.250 0.750
Au1 0.000 0.000 0.500
```

Ranked by calculated energy, most stable first: #one, #two, #three.

#one
DFT (GGA-PBE) results for a geometry-optimized CaRh2Au2 structure.

- ρ (g/cm³) = 11.4

```
data_CaRh2Au2
_chemical_formula_sum 'Ca2 Rh4 Au4'
_cell_length_a 7.643
_cell_length_b 7.643
_cell_length_c 3.188
_cell_angle_alpha 90.00
_cell_angle_beta 90.00
_cell_angle_gamma 90.00
_space_group_name_H-M_alt 'P 4/m b m'
_space_group_IT_number 127
_space_group_name_Hall '-P 4 2ab'
loop_
_atom_site_label
_atom_site_fract_x
_atom_site_fract_y
_atom_site_fract_z
Ca1 0.000 0.000 0.000
Rh1 0.155 0.345 0.500
Au1 0.142 0.642 0.000
```

#two
DFT (GGA-PBE) results for a geometry-optimized CaRh2Au2 structure.

- ρ (g/cm³) = 11.5

```
data_CaRh2Au2
_chemical_formula_sum 'Ca2 Rh4 Au4'
_cell_length_a 7.567
_cell_length_b 7.567
_cell_length_c 3.231
_cell_angle_alpha 90.00
_cell_angle_beta 90.00
_cell_angle_gamma 90.00
_space_group_name_H-M_alt 'P 4/m b m'
_space_group_IT_number 127
_space_group_name_Hall '-P 4 2ab'
loop_
_atom_site_label
_atom_site_fract_x
_atom_site_fract_y
_atom_site_fract_z
Ca1 0.000 0.000 0.000
Rh1 0.124 0.376 0.000
Au1 0.174 0.674 0.500
```

Ranked by calculated energy, most stable first: #two, #one.

#one
DFT (GGA-PBE) results for a geometry-optimized CaRh2Au2 structure.

- ρ (g/cm³) = 10.8

```
data_CaRh2Au2
_chemical_formula_sum 'Ca2 Rh4 Au4'
_cell_length_a 3.817
_cell_length_b 3.817
_cell_length_c 13.510
_cell_angle_alpha 90.00
_cell_angle_beta 90.00
_cell_angle_gamma 90.00
_space_group_name_H-M_alt 'I 4/m m m'
_space_group_IT_number 139
_space_group_name_Hall '-I 4 2'
loop_
_atom_site_label
_atom_site_fract_x
_atom_site_fract_y
_atom_site_fract_z
Ca1 0.000 0.000 0.000
Rh1 0.000 0.500 0.250
Au1 0.000 0.000 0.400
```

#two
DFT (GGA-PBE) results for a geometry-optimized CaRh2Au2 structure.

- ρ (g/cm³) = 10.1

```
data_CaRh2Au2
_chemical_formula_sum 'Ca2 Rh4 Au4'
_cell_length_a 4.663
_cell_length_b 4.663
_cell_length_c 9.647
_cell_angle_alpha 90.00
_cell_angle_beta 90.00
_cell_angle_gamma 90.00
_space_group_name_H-M_alt 'I 4/m m m'
_space_group_IT_number 139
_space_group_name_Hall '-I 4 2'
loop_
_atom_site_label
_atom_site_fract_x
_atom_site_fract_y
_atom_site_fract_z
Ca1 0.000 0.000 0.000
Rh1 0.000 0.000 0.379
Au1 0.000 0.500 0.250
```

Ranked by calculated energy, most stable first: #one, #two.

#one
DFT (GGA-PBE) results for a geometry-optimized Ca8RhAu2 structure.

- ρ (g/cm³) = 4.2

```
data_Ca8RhAu2
_chemical_formula_sum 'Ca16 Rh2 Au4'
_cell_length_a 18.585
_cell_length_b 5.134
_cell_length_c 7.166
_cell_angle_alpha 90.00
_cell_angle_beta 107.05
_cell_angle_gamma 90.00
_space_group_name_H-M_alt 'C 1 2/m 1'
_space_group_IT_number 12
_space_group_name_Hall '-C 2y'
loop_
_atom_site_label
_atom_site_fract_x
_atom_site_fract_y
_atom_site_fract_z
Ca1 0.032 0.000 0.305
Ca2 0.091 0.500 0.927
Ca3 0.161 0.500 0.462
Ca4 0.208 0.000 0.814
Rh1 0.000 0.500 0.500
Au1 0.185 0.000 0.210
```

#two
DFT (GGA-PBE) results for a geometry-optimized Ca8RhAu2 structure.

- ρ (g/cm³) = 3.8

```
data_Ca8RhAu2
_chemical_formula_sum 'Ca16 Rh2 Au4'
_cell_length_a 21.950
_cell_length_b 4.237
_cell_length_c 7.768
_cell_angle_alpha 90.00
_cell_angle_beta 92.11
_cell_angle_gamma 90.00
_space_group_name_H-M_alt 'C 1 2/m 1'
_space_group_IT_number 12
_space_group_name_Hall '-C 2y'
loop_
_atom_site_label
_atom_site_fract_x
_atom_site_fract_y
_atom_site_fract_z
Ca1 0.008 0.000 0.230
Ca2 0.103 0.500 0.524
Ca3 0.126 0.500 0.024
Ca4 0.235 0.000 0.697
Rh1 0.000 0.500 0.000
Au1 0.164 0.000 0.317
```

Ranked by calculated energy, most stable first: #two, #one.

#one
DFT (GGA-PBE) results for a geometry-optimized CaRh3Au structure.

- ρ (g/cm³) = 8.6

```
data_CaRh3Au
_chemical_formula_sum 'Ca1 Rh3 Au1'
_cell_length_a 4.726
_cell_length_b 4.726
_cell_length_c 4.726
_cell_angle_alpha 90.00
_cell_angle_beta 90.00
_cell_angle_gamma 90.00
_space_group_name_H-M_alt 'P m -3 m'
_space_group_IT_number 221
_space_group_name_Hall '-P 4 2 3'
loop_
_atom_site_label
_atom_site_fract_x
_atom_site_fract_y
_atom_site_fract_z
Ca1 0.000 0.000 0.000
Rh1 0.000 0.000 0.500
Au1 0.500 0.500 0.500
```

#two
DFT (GGA-PBE) results for a geometry-optimized CaRh3Au structure.

- ρ (g/cm³) = 7.6

```
data_CaRh3Au
_chemical_formula_sum 'Ca1 Rh3 Au1'
_cell_length_a 4.919
_cell_length_b 4.919
_cell_length_c 4.919
_cell_angle_alpha 90.00
_cell_angle_beta 90.00
_cell_angle_gamma 90.00
_space_group_name_H-M_alt 'P m -3 m'
_space_group_IT_number 221
_space_group_name_Hall '-P 4 2 3'
loop_
_atom_site_label
_atom_site_fract_x
_atom_site_fract_y
_atom_site_fract_z
Ca1 0.000 0.000 0.000
Rh1 0.000 0.500 0.500
Au1 0.500 0.500 0.500
```

Ranked by calculated energy, most stable first: #two, #one.

#one
DFT (GGA-PBE) results for a geometry-optimized CaTbRhAu structure.

- ρ (g/cm³) = 9.5

```
data_CaTbRhAu
_chemical_formula_sum 'Ca4 Tb4 Rh4 Au4'
_cell_length_a 7.037
_cell_length_b 7.037
_cell_length_c 7.037
_cell_angle_alpha 90.00
_cell_angle_beta 90.00
_cell_angle_gamma 90.00
_space_group_name_H-M_alt 'F -4 3 m'
_space_group_IT_number 216
_space_group_name_Hall 'F -4 2 3'
loop_
_atom_site_label
_atom_site_fract_x
_atom_site_fract_y
_atom_site_fract_z
Ca1 0.000 0.000 0.000
Tb1 0.000 0.000 0.500
Rh1 0.250 0.250 0.250
Au1 0.250 0.250 0.750
```

#two
DFT (GGA-PBE) results for a geometry-optimized CaTbRhAu structure.

- ρ (g/cm³) = 8.9

```
data_CaTbRhAu
_chemical_formula_sum 'Ca2 Tb2 Rh2 Au2'
_cell_length_a 4.291
_cell_length_b 3.892
_cell_length_c 11.125
_cell_angle_alpha 90.00
_cell_angle_beta 90.00
_cell_angle_gamma 90.00
_space_group_name_H-M_alt 'A m m 2'
_space_group_IT_number 38
_space_group_name_Hall 'A 2 -2'
loop_
_atom_site_label
_atom_site_fract_x
_atom_site_fract_y
_atom_site_fract_z
Ca1 0.000 0.000 0.000
Tb1 0.500 0.000 0.716
Rh1 0.000 0.000 0.266
Au1 0.500 0.000 0.435
```

Ranked by calculated energy, most stable first: #two, #one.

#one
DFT (GGA-PBE) results for a geometry-optimized CaRuAu structure.

- ρ (g/cm³) = 8.9

```
data_CaRuAu
_chemical_formula_sum 'Ca1 Ru1 Au1'
_cell_length_a 4.5280
_cell_length_b 4.5280
_cell_length_c 3.5472
_cell_angle_alpha 90.00
_cell_angle_beta 90.00
_cell_angle_gamma 120.00
_space_group_name_H-M_alt 'P -6 m 2'
_space_group_IT_number 187
_space_group_name_Hall 'P -6 2'
loop_
_atom_site_label
_atom_site_fract_x
_atom_site_fract_y
_atom_site_fract_z
Ca1 0.0000 0.0000 0.0000
Ru1 0.6667 0.3333 0.5000
Au1 0.3333 0.6667 0.5000
```

#two
DFT (GGA-PBE) results for a geometry-optimized CaRuAu structure.

- ρ (g/cm³) = 8.1

```
data_CaRuAu
_chemical_formula_sum 'Ca4 Ru4 Au4'
_cell_length_a 6.513
_cell_length_b 6.513
_cell_length_c 6.513
_cell_angle_alpha 90.00
_cell_angle_beta 90.00
_cell_angle_gamma 90.00
_space_group_name_H-M_alt 'F -4 3 m'
_space_group_IT_number 216
_space_group_name_Hall 'F -4 2 3'
loop_
_atom_site_label
_atom_site_fract_x
_atom_site_fract_y
_atom_site_fract_z
Ca1 0.000 0.000 0.000
Ru1 0.250 0.250 0.250
Au1 0.250 0.250 0.750
```

#three
DFT (GGA-PBE) results for a geometry-optimized CaRuAu structure.

- ρ (g/cm³) = 9.0

```
data_CaRuAu
_chemical_formula_sum 'Ca2 Ru2 Au2'
_cell_length_a 3.544
_cell_length_b 3.544
_cell_length_c 9.946
_cell_angle_alpha 90.00
_cell_angle_beta 90.00
_cell_angle_gamma 90.00
_space_group_name_H-M_alt 'I 4 m m'
_space_group_IT_number 107
_space_group_name_Hall 'I 4 -2'
loop_
_atom_site_label
_atom_site_fract_x
_atom_site_fract_y
_atom_site_fract_z
Ca1 0.000 0.000 0.000
Ru1 0.000 0.000 0.704
Au1 0.000 0.000 0.301
```

#four
DFT (GGA-PBE) results for a geometry-optimized CaRuAu structure.

- ρ (g/cm³) = 9.7

```
data_CaRuAu
_chemical_formula_sum 'Ca1 Ru1 Au1'
_cell_length_a 3.0558
_cell_length_b 3.0558
_cell_length_c 7.1323
_cell_angle_alpha 90.00
_cell_angle_beta 90.00
_cell_angle_gamma 120.00
_space_group_name_H-M_alt 'P 3 m 1'
_space_group_IT_number 156
_space_group_name_Hall 'P 3 -2"'
loop_
_atom_site_label
_atom_site_fract_x
_atom_site_fract_y
_atom_site_fract_z
Ca1 0.0000 0.0000 0.0000
Ru1 0.6667 0.3333 0.3255
Au1 0.3333 0.6667 0.6450
```

Ranked by calculated energy, most stable first: #one, #three, #four, #two.

#one
DFT (GGA-PBE) results for a geometry-optimized CaRuAu2 structure.

- ρ (g/cm³) = 11.3

```
data_CaRuAu2
_chemical_formula_sum 'Ca1 Ru1 Au2'
_cell_length_a 3.449
_cell_length_b 3.449
_cell_length_c 6.594
_cell_angle_alpha 90.00
_cell_angle_beta 90.00
_cell_angle_gamma 90.00
_space_group_name_H-M_alt 'P 4/m m m'
_space_group_IT_number 123
_space_group_name_Hall '-P 4 2'
loop_
_atom_site_label
_atom_site_fract_x
_atom_site_fract_y
_atom_site_fract_z
Ca1 0.000 0.000 0.000
Ru1 0.000 0.000 0.500
Au1 0.500 0.500 0.286
```

#two
DFT (GGA-PBE) results for a geometry-optimized CaRuAu2 structure.

- ρ (g/cm³) = 11.7

```
data_CaRuAu2
_chemical_formula_sum 'Ca3 Ru3 Au6'
_cell_length_a 3.0591
_cell_length_b 3.0591
_cell_length_c 28.1323
_cell_angle_alpha 90.00
_cell_angle_beta 90.00
_cell_angle_gamma 120.00
_space_group_name_H-M_alt 'R -3 m'
_space_group_IT_number 166
_space_group_name_Hall '-R 3 2"'
loop_
_atom_site_label
_atom_site_fract_x
_atom_site_fract_y
_atom_site_fract_z
Ca1 0.0000 0.0000 0.0000
Ru1 0.0000 0.0000 0.5000
Au1 0.0000 0.0000 0.2458
```

#three
DFT (GGA-PBE) results for a geometry-optimized CaRuAu2 structure.

- ρ (g/cm³) = 11.6

```
data_CaRuAu2
_chemical_formula_sum 'Ca4 Ru4 Au8'
_cell_length_a 6.741
_cell_length_b 6.741
_cell_length_c 6.741
_cell_angle_alpha 90.00
_cell_angle_beta 90.00
_cell_angle_gamma 90.00
_space_group_name_H-M_alt 'F m -3 m'
_space_group_IT_number 225
_space_group_name_Hall '-F 4 2 3'
loop_
_atom_site_label
_atom_site_fract_x
_atom_site_fract_y
_atom_site_fract_z
Ca1 0.000 0.000 0.000
Ru1 0.000 0.000 0.500
Au1 0.250 0.250 0.250
```

#four
DFT (GGA-PBE) results for a geometry-optimized CaRuAu2 structure.

- ρ (g/cm³) = 11.9

```
data_CaRuAu2
_chemical_formula_sum 'Ca2 Ru2 Au4'
_cell_length_a 6.415
_cell_length_b 6.428
_cell_length_c 3.632
_cell_angle_alpha 90.00
_cell_angle_beta 90.00
_cell_angle_gamma 90.00
_space_group_name_H-M_alt 'C m m m'
_space_group_IT_number 65
_space_group_name_Hall '-C 2 2'
loop_
_atom_site_label
_atom_site_fract_x
_atom_site_fract_y
_atom_site_fract_z
Ca1 0.000 0.000 0.000
Ru1 0.000 0.500 0.000
Au1 0.250 0.250 0.500
```

Ranked by calculated energy, most stable first: #four, #one, #three, #two.